VASP calculation (PBE-GGA) on crystalline NaZn9Au2 at its relaxed geometry.

Cell and atoms, written as POSCAR:
```
NaZn9Au2
1.0
-5.0507 -3.6467 -3.2857
2.3347 -3.4247 -7.3362
-0.3245 -8.1735 2.0219
Au Zn Na
4 18 2
Direct
0.8750 0.2500 0.7500
0.3750 0.7500 0.7500
0.8750 0.2500 0.2500
0.8750 0.7500 0.2500
0.5890 0.0889 0.3303
0.1610 0.1697 0.4111
0.7418 0.5889 0.8303
0.3221 0.6697 0.0889
0.0807 0.3303 0.9111
0.0000 0.0000 0.0000
0.5890 0.3303 0.0889
0.7500 0.5000 0.5000
0.0807 0.9111 0.3303
0.0082 0.9111 0.6697
0.1610 0.4111 0.1697
0.4279 0.8303 0.4111
0.4279 0.4111 0.8303
0.6693 0.1697 0.5889
0.0082 0.6697 0.9111
0.3221 0.0889 0.6697
0.7418 0.8303 0.5889
0.6693 0.5889 0.1697
0.2500 0.5000 0.5000
0.5000 0.0000 0.0000
```

Properties
calculated total energy	-1.7506	eV per atom
total magnetization	0.00	μB/f.u.
D(E_F)	7.4	states/eV/cell
formation energy	-1.668	eV/f.u.
distance to the lowest polymorph of the same formula	0.000	eV per atom



VASP calculation (PBE-GGA) on crystalline Ti4VFe3 at its relaxed geometry.

Cell and atoms, written as POSCAR:
```
Ti4VFe3
1.0
2.9603 0.0000 0.0000
0.0000 2.9603 0.0000
0.0000 0.0000 12.2575
Ti Fe V
4 3 1
Direct
0.0000 0.0000 0.8615
0.0000 0.0000 0.1385
0.0000 0.0000 0.6207
0.0000 0.0000 0.3793
0.5000 0.5000 0.2599
0.5000 0.5000 0.5000
0.5000 0.5000 0.7401
0.5000 0.5000 0.0000
```

Properties
calculated total energy	-8.5465	eV per atom
total magnetization	0.00	μB/f.u.
D(E_F)	6.6	states/eV/cell
formation energy	-2.286	eV/f.u.



VASP calculation (PBE-GGA) on crystalline GePd2Pt5 at its relaxed geometry.

Cell and atoms, written as POSCAR:
```
GePd2Pt5
1.0
-0.3822 -2.1891 3.3472
5.4712 0.6289 1.0361
-2.1390 9.1509 5.7405
Ge Pt Pd
2 10 4
Direct
0.0000 0.0000 0.5000
0.0000 0.5000 0.0000
0.5000 0.7866 0.3872
0.0000 0.0000 0.0000
0.5000 0.7134 0.8872
0.5000 0.2866 0.1128
0.0000 0.4670 0.7583
0.0000 0.5330 0.2417
0.0000 0.5000 0.5000
0.0000 0.9670 0.7417
0.5000 0.2134 0.6128
0.0000 0.0330 0.2583
0.5000 0.7119 0.6332
0.5000 0.7881 0.1332
0.5000 0.2881 0.3668
0.5000 0.2119 0.8668
```

Properties
calculated total energy	-5.8112	eV per atom
total magnetization	0.00	μB/f.u.
D(E_F)	21.2	states/eV/cell
formation energy	-1.282	eV/f.u.



VASP calculation (PBE-GGA) on crystalline Sr2InRhO5 at its relaxed geometry.

Cell and atoms, written as POSCAR:
```
Sr2InRhO5
1.0
3.4286 0.0000 0.0000
-1.7143 6.8718 0.0000
0.0000 0.0000 11.1030
O Sr In Rh
10 4 2 2
Direct
0.9240 0.8479 0.5552
0.6177 0.2354 0.4923
0.7047 0.4094 0.9186
0.4991 0.9982 0.2734
0.2953 0.5906 0.4186
0.0760 0.1521 0.0552
0.2705 0.5409 0.6503
0.7295 0.4591 0.1503
0.5009 0.0018 0.7734
0.3823 0.7646 0.9923
0.1433 0.2866 0.2941
0.8567 0.7134 0.7941
0.9037 0.8074 0.1587
0.0963 0.1926 0.6587
0.4558 0.9116 0.4503
0.5442 0.0884 0.9503
0.7733 0.5465 0.5311
0.2267 0.4535 0.0311
```

Properties
calculated total energy	-6.0882	eV per atom
total magnetization	0.00	μB/f.u.
formation energy without anion corrections	-1.839	eV per atom